(1)
Compound: Nd4SnSb2Te
Source: Alexandria via LeMat-Bulk
Functional: PBE
Structure: optimized geometry

ΔE_f (raw): -1.1602 eV/atom
Symmetry: P2/m
Total DFT energy (no corrections): -43.7 eV/cell
D(E_F): 0.1860 states/eV per atom

a = 4.503 Å, b = 7.842 Å, c = 7.850 Å
α = 70.79°, β = 90.00°, γ = 90.00°
Atoms (fractional coordinates):
Nd (0.000, 0.752, 0.751)
Nd (0.000, 0.248, 0.249)
Nd (0.500, 0.755, 0.243)
Nd (0.500, 0.245, 0.757)
Sn (0.500, 0.500, 0.000)
Sb (0.000, 0.000, 0.000)
Sb (0.500, 0.000, 0.500)
Te (0.000, 0.500, 0.500)

---

(2)
Compound: Nd4SnSbTe2
Source: Alexandria via LeMat-Bulk
Functional: PBE
Structure: optimized geometry

ΔE_f (raw): -1.2509 eV/atom
Symmetry: P2/m
Total DFT energy (no corrections): -43.5 eV/cell
D(E_F): 0.2132 states/eV per atom

a = 4.528 Å, b = 7.840 Å, c = 7.835 Å
α = 70.56°, β = 90.00°, γ = 90.00°
Atoms (fractional coordinates):
Nd (0.000, 0.740, 0.755)
Nd (0.000, 0.260, 0.245)
Nd (0.500, 0.740, 0.251)
Nd (0.500, 0.260, 0.749)
Sn (0.500, 0.500, 0.000)
Sb (0.000, 0.500, 0.500)
Te (0.000, 0.000, 0.000)
Te (0.500, 0.000, 0.500)

---

(3)
Compound: Nd6Sn2SbTe3
Source: Alexandria via LeMat-Bulk
Functional: PBE
Structure: optimized geometry

ΔE_f (raw): -1.2095 eV/atom
Symmetry: C2/m
Total DFT energy (no corrections): -64.7 eV/cell
D(E_F): 0.1878 states/eV per atom

a = 4.527 Å, b = 9.067 Å, c = 10.123 Å
α = 102.96°, β = 102.92°, γ = 90.00°
Atoms (fractional coordinates):
Nd (0.335, 0.910, 0.670)
Nd (0.669, 0.578, 0.337)
Nd (0.665, 0.090, 0.330)
Nd (0.003, 0.246, 0.007)
Nd (0.997, 0.754, 0.993)
Nd (0.331, 0.422, 0.663)
Sn (0.833, 0.667, 0.667)
Sn (0.167, 0.333, 0.333)
Sb (0.500, 0.000, 0.000)
Te (0.500, 0.500, 0.000)
Te (0.834, 0.166, 0.668)
Te (0.166, 0.834, 0.332)

---

So what do the calculations give for total magnetization? Going down the list: 0.00, 0.00, 0.00 μB per cell.